First-principles (PBEsol) data for a relaxed ZnSi crystal, as listed in Alexandria via LeMat-Bulk.

The structure belongs to space group Pmma (No. 51); the cell edges are 5.105, 2.513 and 4.773 Å and the angles 90.00°, 90.00° and 90.00°. Symmetry generates all atoms from Zn at (0.250, 0.000, 0.001) and Si at (0.250, 0.500, 0.501).

As for the uncorrected formation energy: 0.48 eV/f.u. The uncorrected energy is -3.423 eV per atom.

***

First-principles (PBEsol) data for a relaxed ZnSi crystal, as listed in Alexandria via LeMat-Bulk.

The structure belongs to space group I4_1/amd (No. 141, origin choice 2); the cell edges are 4.009, 4.009 and 7.333 Å and the angles 90.00°, 90.00° and 90.00°. Symmetry generates all atoms from Zn at (0.000, 0.250, 0.375) and Si at (0.000, 0.250, 0.875).

As for the uncorrected formation energy: 0.59 eV/f.u. The uncorrected energy is -3.371 eV per atom.

***

First-principles (PBEsol) data for a relaxed ZnSi crystal, as listed in Alexandria via LeMat-Bulk.

The structure belongs to space group Cmmm (No. 65); the cell edges are 2.504, 4.699 and 5.032 Å and the angles 90.00°, 90.00° and 90.00°. Symmetry generates all atoms from Zn at (0.000, 0.000, 0.000) and Si at (0.000, 0.500, 0.500).

As for the uncorrected formation energy: 0.52 eV/f.u. The uncorrected energy is -3.404 eV per atom.

***

First-principles (PBEsol) data for a relaxed Zn2Si crystal, as listed in Alexandria via LeMat-Bulk.

The structure belongs to space group Imma (No. 74); the cell edges are 2.544, 3.573 and 20.981 Å and the angles 90.00°, 90.00° and 90.00°. Symmetry generates all atoms from Zn at (0.000, 0.250, 0.047), Zn at (0.000, 0.250, 0.197) and Si at (0.000, 0.250, 0.624).

As for the uncorrected formation energy: 0.73 eV/f.u. The uncorrected energy is -2.727 eV per atom.

***

First-principles (PBEsol) data for a relaxed ZnSi3 crystal, as listed in Alexandria via LeMat-Bulk.

The structure belongs to space group Cmmm (No. 65); the cell edges are 5.018, 5.180 and 4.626 Å and the angles 90.00°, 90.00° and 90.00°. Symmetry generates all atoms from Zn at (0.000, 0.000, 0.000), Si at (0.000, 0.251, 0.500) and Si at (0.000, 0.500, 0.000).

As for the uncorrected formation energy: 1.05 eV/f.u. The uncorrected energy is -4.442 eV per atom.

***

First-principles (PBEsol) data for a relaxed ZnSi crystal, as listed in Alexandria via LeMat-Bulk.

The structure belongs to space group F-43m (No. 216); the cell edges are 5.491, 5.491 and 5.491 Å and the angles 90.00°, 90.00° and 90.00°. Symmetry generates all atoms from Zn at (0.000, 0.000, 0.000) and Si at (0.250, 0.250, 0.750).

As for the uncorrected formation energy: 1.33 eV/f.u. The uncorrected energy is -2.998 eV per atom.

***

First-principles (PBEsol) data for a relaxed Zn3Si crystal, as listed in Alexandria via LeMat-Bulk.

The structure belongs to space group Pmm2 (No. 25); the cell edges are 2.561, 4.810 and 4.810 Å and the angles 90.00°, 90.00° and 90.00°. Symmetry generates all atoms from Zn at (0.000, 0.000, 0.000), Zn at (0.000, 0.500, 0.492), Zn at (0.500, 0.500, 0.991) and Si at (0.500, 0.000, 0.500).

As for the uncorrected formation energy: 0.69 eV/f.u. The uncorrected energy is -2.451 eV per atom.

***

First-principles (PBEsol) data for a relaxed ZrZn2Si crystal, as listed in Alexandria via LeMat-Bulk.

The structure belongs to space group Imm2 (No. 44); the cell edges are 3.794, 3.872 and 8.760 Å and the angles 90.00°, 90.00° and 90.00°. Symmetry generates all atoms from Zr at (0.000, 0.000, 0.000), Zn at (0.000, 0.000, 0.443), Zn at (0.000, 0.500, 0.242) and Si at (0.000, 0.500, 0.740).

As for the uncorrected formation energy: -0.97 eV/f.u. The uncorrected energy is -4.742 eV per atom.

***

First-principles (PBEsol) data for a relaxed ZrZn2Si crystal, as listed in Alexandria via LeMat-Bulk.

The structure belongs to space group Pmm2 (No. 25); the cell edges are 2.967, 4.127 and 5.300 Å and the angles 90.00°, 90.00° and 90.00°. Symmetry generates all atoms from Zr at (0.000, 0.000, 0.000), Zn at (0.500, 0.000, 0.495), Zn at (0.500, 0.500, 0.737) and Si at (0.500, 0.500, 0.221).

As for the uncorrected formation energy: -1.09 eV/f.u. The uncorrected energy is -4.772 eV per atom.

***

First-principles (PBEsol) data for a relaxed ZrZn2Si crystal, as listed in Alexandria via LeMat-Bulk.

The structure belongs to space group R-3m (No. 166, hexagonal axes); the cell edges are 2.9251, 2.9251 and 26.7743 Å and the angles 90.00°, 90.00° and 120.00°. Symmetry generates all atoms from Zr at (0.0000, 0.0000, 0.0000), Zn at (0.0000, 0.0000, 0.2432) and Si at (0.0000, 0.0000, 0.5000).

As for the uncorrected formation energy: 0.29 eV/f.u. The uncorrected energy is -4.429 eV per atom.

***

First-principles (PBEsol) data for a relaxed ZrZn2Si crystal, as listed in Alexandria via LeMat-Bulk.

The structure belongs to space group P4/mmm (No. 123); the cell edges are 3.881, 3.881 and 4.096 Å and the angles 90.00°, 90.00° and 90.00°. Symmetry generates all atoms from Zr at (0.000, 0.000, 0.000), Zn at (0.000, 0.500, 0.500) and Si at (0.500, 0.500, 0.000).

As for the uncorrected formation energy: -1.79 eV/f.u. The uncorrected energy is -4.947 eV per atom.

***

First-principles (PBEsol) data for a relaxed ZrZnSi2 crystal, as listed in Alexandria via LeMat-Bulk.

The structure belongs to space group Cmmm (No. 65); the cell edges are 5.727, 7.715 and 2.905 Å and the angles 90.00°, 90.00° and 90.00°. Symmetry generates all atoms from Zr at (0.000, 0.000, 0.000), Zn at (0.000, 0.500, 0.000) and Si at (0.250, 0.250, 0.500).

As for the uncorrected formation energy: -0.84 eV/f.u. The uncorrected energy is -5.751 eV per atom.

***

First-principles (PBEsol) data for a relaxed ZrZn2Si crystal, as listed in Alexandria via LeMat-Bulk.

The structure belongs to space group Pmmm (No. 47); the cell edges are 2.919, 4.393 and 5.011 Å and the angles 90.00°, 90.00° and 90.00°. Symmetry generates all atoms from Zr at (0.000, 0.000, 0.000), Zn at (0.500, 0.500, 0.246) and Si at (0.500, 0.000, 0.500).

As for the uncorrected formation energy: -1.03 eV/f.u. The uncorrected energy is -4.756 eV per atom.

***

First-principles (PBEsol) data for a relaxed ZrSi5 crystal, as listed in Alexandria via LeMat-Bulk.

The structure belongs to space group Cmmm (No. 65); the cell edges are 3.730, 12.658 and 3.842 Å and the angles 90.00°, 90.00° and 90.00°. Symmetry generates all atoms from Zr at (0.000, 0.000, 0.000), Si at (0.000, 0.174, 0.500), Si at (0.000, 0.333, 0.000) and Si at (0.000, 0.500, 0.500).

As for the uncorrected formation energy: -0.32 eV/f.u. The uncorrected energy is -6.358 eV per atom.

***

First-principles (PBEsol) data for a relaxed Zr5Si4 crystal, as listed in Alexandria via LeMat-Bulk.

The structure belongs to space group P4_12_12 (No. 92); the cell edges are 7.082, 7.082 and 12.931 Å and the angles 90.00°, 90.00° and 90.00°. Symmetry generates all atoms from Zr at (0.001, 0.350, 0.035), Zr at (0.002, 0.146, 0.627), Zr at (0.175, 0.825, 0.750), Si at (0.050, 0.699, 0.938) and Si at (0.147, 0.206, 0.823).

As for the uncorrected formation energy: -8.80 eV/f.u. The uncorrected energy is -8.582 eV per atom.

***

First-principles (PBEsol) data for a relaxed ZrSi2 crystal, as listed in Alexandria via LeMat-Bulk.

The structure belongs to space group Pnma (No. 62); the cell edges are 6.006, 3.628 and 9.074 Å and the angles 90.00°, 90.00° and 90.00°. Symmetry generates all atoms from Zr at (0.164, 0.250, 0.127), Si at (0.127, 0.250, 0.437) and Si at (0.165, 0.250, 0.818).

As for the uncorrected formation energy: -2.07 eV/f.u. The uncorrected energy is -7.552 eV per atom.

***

First-principles (PBEsol) data for a relaxed Zr5Si4 crystal, as listed in Alexandria via LeMat-Bulk.

The structure belongs to space group P6_3/mcm (No. 193); the cell edges are 8.1486, 8.1486 and 5.5854 Å and the angles 90.00°, 90.00° and 120.00°. Symmetry generates all atoms from Zr at (0.0000, 0.2712, 0.2500), Zr at (0.3333, 0.6667, 0.0000), Si at (0.0000, 0.0000, 0.0000) and Si at (0.0000, 0.3909, 0.7500).

As for the uncorrected formation energy: -8.09 eV/f.u. The uncorrected energy is -8.503 eV per atom.

***

First-principles (PBEsol) data for a relaxed ZrSi2 crystal, as listed in Alexandria via LeMat-Bulk.

The structure belongs to space group C2/m (No. 12); the cell edges are 9.470, 3.675 and 6.075 Å and the angles 90.00°, 104.55° and 90.00°. Symmetry generates all atoms from Zr at (0.163, 0.000, 0.208), Si at (0.060, 0.500, 0.852) and Si at (0.112, 0.000, 0.641).

As for the uncorrected formation energy: -1.55 eV/f.u. The uncorrected energy is -7.378 eV per atom.

***

First-principles (PBEsol) data for a relaxed ZrSi2 crystal, as listed in Alexandria via LeMat-Bulk.

The structure belongs to space group Cmcm (No. 63); the cell edges are 3.671, 14.548 and 3.660 Å and the angles 90.00°, 90.00° and 90.00°. Symmetry generates all atoms from Zr at (0.000, 0.105, 0.250), Si at (0.000, 0.250, 0.750) and Si at (0.000, 0.446, 0.250).

As for the uncorrected formation energy: -2.27 eV/f.u. The uncorrected energy is -7.618 eV per atom.

***

First-principles (PBEsol) data for a relaxed ZrSi2 crystal, as listed in Alexandria via LeMat-Bulk.

The structure belongs to space group Cm (No. 8); the cell edges are 9.417, 3.646 and 6.055 Å and the angles 90.00°, 103.78° and 90.00°. Symmetry generates all atoms from Zr at (0.000, 0.000, 0.000), Zr at (0.246, 0.000, 0.577), Si at (0.064, 0.500, 0.700), Si at (0.201, 0.500, 0.219), Si at (0.293, 0.000, 0.033) and Si at (0.449, 0.500, 0.463).

As for the uncorrected formation energy: -1.64 eV/f.u. The uncorrected energy is -7.409 eV per atom.